Record 1
# Ca2InRu, optimized geometry, DFT PBE-GGA
# E_form: -0.02 eV/atom
data_Ca2InRu
_cell_length_a 11.730
_cell_length_b 3.630
_cell_length_c 5.189
_cell_angle_alpha 90.00
_cell_angle_beta 116.03
_cell_angle_gamma 90.00
_space_group_name_H-M_alt 'C 1 m 1'
_space_group_IT_number 8
_space_group_name_Hall 'C -2y'
loop_
_atom_site_label
_atom_site_fract_x
_atom_site_fract_y
_atom_site_fract_z
_atom_site_occupancy
Ca1 0.000 0.000 0.000 1
Ca2 0.203 0.000 0.701 1
In1 0.417 0.000 0.418 1
Ru1 0.229 0.500 0.225 1

---

Record 2
# Ho6SiSb2, optimized geometry, DFT PBE-GGA
# formation energy from raw total energies: -5.74 eV/f.u.
data_Ho6SiSb2
_cell_length_a 6.244
_cell_length_b 8.112
_cell_length_c 11.723
_cell_angle_alpha 90.00
_cell_angle_beta 121.85
_cell_angle_gamma 90.00
_space_group_name_H-M_alt 'P 1 21/c 1'
_space_group_IT_number 14
_space_group_name_Hall '-P 2ybc'
loop_
_atom_site_label
_atom_site_fract_x
_atom_site_fract_y
_atom_site_fract_z
_atom_site_occupancy
Ho1 0.082 0.184 0.452 1
Ho2 0.323 0.676 0.453 1
Ho3 0.359 0.032 0.234 1
Si1 0.500 0.000 0.500 1
Sb1 0.158 0.115 0.749 1

---

Table of magnetic moment (μB/atom), in record order: 0.000; 0.000